A plane-wave DFT calculation with SCAN was carried out for a PBEsol-optimized structure of SrSbCl2.

## Properties
- formation energy without anion corrections (eV per atom) = -1.31
- energy above the lowest structure with this stoichiometry (meV per atom) = 126.9
- density of states at the Fermi level (states/eV/cell) = 1.3

```
SrSbCl2
1.0
-1.786 2.360 6.093
1.786 -2.360 6.093
1.786 2.360 -6.093
Sr Sb Cl
1 1 2
Cartesian
0.000 0.000 0.000 Sr
0.000 2.360 2.966 Sb
1.786 0.000 2.388 Cl
0.000 0.000 5.671 Cl
```


A plane-wave DFT calculation with SCAN was carried out for a PBEsol-optimized structure of KSc2MnTe.

## Properties
- formation energy without anion corrections (eV per atom) = 1.25
- density of states at the Fermi level (states/eV/cell) = 3.1

```
KSc2MnTe
1.0
4.751 0.000 0.000
0.000 4.751 0.000
0.000 0.000 5.562
K Sc Mn Te
1 2 1 1
Cartesian
0.000 0.000 0.000 K
0.000 2.375 0.000 Sc
2.375 0.000 0.000 Sc
2.375 2.375 2.781 Mn
0.000 0.000 2.781 Te
```


A plane-wave DFT calculation with SCAN was carried out for a PBEsol-optimized structure of LiCd2Sb.

## Properties
- formation energy without anion corrections (eV per atom) = -0.10
- density of states at the Fermi level (states/eV/cell) = 1.5

```
LiCd2Sb
1.0
2.849 -4.377 0.000
2.849 4.377 0.000
0.000 0.000 3.510
Li Cd Sb
1 2 1
Cartesian
0.000 0.000 0.000 Li
1.425 2.189 1.755 Cd
1.425 -2.189 1.755 Cd
2.849 0.000 0.000 Sb
```


A plane-wave DFT calculation with SCAN was carried out for a PBEsol-optimized structure of Y2TiB.

## Properties
- density of states at the Fermi level (states/eV/cell) = 6.2
- formation energy (eV/atom) = 0.218

```
Y2TiB
1.0
-4.658 4.658 2.136
4.658 -4.658 2.136
4.658 4.658 -2.136
Y Ti B
4 2 2
Cartesian
0.919 2.329 0.534 Y
-2.329 3.739 1.602 Y
-0.919 6.986 0.534 Y
2.329 5.577 1.602 Y
4.658 0.000 1.068 Ti
0.000 0.000 2.136 Ti
0.000 0.000 0.000 B
0.000 4.658 1.068 B
```


A plane-wave DFT calculation with SCAN was carried out for a PBEsol-optimized structure of ZnH2Pd2.

## Properties
- energy above the lowest structure with this stoichiometry (meV per atom) = 0.0
- density of states at the Fermi level (states/eV/cell) = 0.9

```
ZnH2Pd2
1.0
-1.553 1.553 5.020
1.553 -1.553 5.020
1.553 1.553 -5.020
Zn H Pd
1 2 2
Cartesian
0.000 0.000 0.000 Zn
1.553 0.000 2.510 H
0.000 1.553 2.510 H
0.000 0.000 3.552 Pd
0.000 0.000 6.488 Pd
```


A plane-wave DFT calculation with SCAN was carried out for a PBEsol-optimized structure of Mg2NbCrI.

## Properties
- formation energy without anion corrections (eV per atom) = 1.05
- density of states at the Fermi level (states/eV/cell) = 3.5

```
Mg2NbCrI
1.0
5.594 0.000 0.000
0.000 5.594 0.000
0.000 0.000 4.377
Mg Nb Cr I
2 1 1 1
Cartesian
0.000 2.797 0.000 Mg
2.797 0.000 0.000 Mg
0.000 0.000 0.000 Nb
0.000 0.000 2.189 Cr
2.797 2.797 2.189 I
```


A plane-wave DFT calculation with SCAN was carried out for a PBEsol-optimized structure of Ba2PtO.

## Properties
- formation energy without anion corrections (eV per atom) = -1.60
- density of states at the Fermi level (states/eV/cell) = 0.0

```
Ba2PtO
1.0
-3.652 3.652 4.232
3.652 -3.652 4.232
3.652 3.652 -4.232
Ba Pt O
4 2 2
Cartesian
5.479 1.400 -1.058 Ba
1.400 1.826 1.058 Ba
-1.826 2.252 3.174 Ba
2.252 1.826 5.290 Ba
3.652 0.000 2.116 Pt
0.000 0.000 4.232 Pt
0.000 0.000 0.000 O
0.000 3.652 2.116 O
```


A plane-wave DFT calculation with SCAN was carried out for a PBEsol-optimized structure of Be4C3.

## Properties
- density of states at the Fermi level (states/eV/cell) = 3.1
- formation energy (eV/atom) = 1.078

```
Be4C3
1.0
4.265 0.000 0.000
0.000 4.265 0.000
0.000 0.000 4.265
Be C
4 3
Cartesian
0.827 0.827 0.827 Be
0.827 3.438 3.438 Be
3.438 0.827 3.438 Be
3.438 3.438 0.827 Be
0.000 0.000 2.133 C
0.000 2.133 0.000 C
2.133 0.000 0.000 C
```


A plane-wave DFT calculation with SCAN was carried out for a PBEsol-optimized structure of PrHo3.

## Properties
- energy above the lowest structure with this stoichiometry (meV per atom) = 0.0
- density of states at the Fermi level (states/eV/cell) = 12.8
- formation energy (eV/atom) = 0.020

```
PrHo3
1.0
7.110 0.000 0.000
-3.555 6.157 0.000
0.000 0.000 5.607
Pr Ho
2 6
Cartesian
0.000 4.105 1.402 Pr
3.555 2.052 4.205 Pr
0.000 2.038 4.205 Ho
-1.790 5.138 4.205 Ho
1.765 1.019 1.402 Ho
1.790 5.138 4.205 Ho
5.345 1.019 1.402 Ho
3.555 4.120 1.402 Ho
```


A plane-wave DFT calculation with SCAN was carried out for a PBEsol-optimized structure of Li2HgAu.

## Properties
- energy above the lowest structure with this stoichiometry (meV per atom) = 9.0
- density of states at the Fermi level (states/eV/cell) = 0.9
- formation energy (eV/atom) = -0.534

```
Li2HgAu
1.0
4.406 0.000 0.000
0.000 4.406 0.000
0.000 0.000 3.221
Li Hg Au
2 1 1
Cartesian
0.000 2.203 0.000 Li
2.203 0.000 0.000 Li
0.000 0.000 1.611 Hg
2.203 2.203 1.611 Au
```


A plane-wave DFT calculation with SCAN was carried out for a PBEsol-optimized structure of Zn2TcAu.

## Properties
- energy above the lowest structure with this stoichiometry (meV per atom) = 79.0
- density of states at the Fermi level (states/eV/cell) = 1.5
- formation energy (eV/atom) = 0.037

```
Zn2TcAu
1.0
2.649 0.000 0.000
0.000 4.229 0.000
-0.207 0.000 5.257
Zn Tc Au
2 1 1
Cartesian
0.162 0.000 1.192 Zn
2.280 0.000 4.065 Zn
1.324 2.115 0.000 Tc
-0.103 2.115 2.628 Au
```


A plane-wave DFT calculation with SCAN was carried out for a PBEsol-optimized structure of ScTl2Os.

## Properties
- energy above the lowest structure with this stoichiometry (meV per atom) = 256.8
- density of states at the Fermi level (states/eV/cell) = 3.0
- formation energy (eV/atom) = 0.317

```
ScTl2Os
1.0
4.191 0.000 0.000
0.000 4.191 0.000
0.000 0.000 4.409
Sc Tl Os
1 2 1
Cartesian
0.000 0.000 0.000 Sc
0.000 2.095 2.205 Tl
2.095 0.000 2.205 Tl
2.095 2.095 0.000 Os
```


A plane-wave DFT calculation with SCAN was carried out for a PBEsol-optimized structure of Li2InBi2.

## Properties
- density of states at the Fermi level (states/eV/cell) = 4.2
- formation energy (eV/atom) = -0.288

```
Li2InBi2
1.0
8.746 0.000 0.000
0.000 8.746 0.000
0.000 0.000 3.173
Li In Bi
4 2 4
Cartesian
1.110 3.263 0.000 Li
3.263 7.636 0.000 Li
5.483 1.110 0.000 Li
7.636 5.483 0.000 Li
0.000 0.000 1.586 In
4.373 4.373 1.586 In
1.475 5.848 1.586 Bi
2.898 1.475 1.586 Bi
5.848 7.271 1.586 Bi
7.271 2.898 1.586 Bi
```


A plane-wave DFT calculation with SCAN was carried out for a PBEsol-optimized structure of ZrCoNi2.

## Properties
- density of states at the Fermi level (states/eV/cell) = 4.9
- formation energy (eV/atom) = 0.316

```
ZrCoNi2
1.0
1.336 0.771 8.450
-1.336 0.771 8.450
0.000 -1.542 8.450
Zr Co Ni
1 1 2
Cartesian
0.000 0.000 0.000 Zr
0.000 0.000 12.675 Co
0.000 0.000 6.112 Ni
0.000 0.000 19.237 Ni
```


A plane-wave DFT calculation with SCAN was carried out for a PBEsol-optimized structure of TaCd2Sb.

## Properties
- formation energy without anion corrections (eV per atom) = 0.18
- density of states at the Fermi level (states/eV/cell) = 1.8

```
TaCd2Sb
1.0
3.611 0.000 0.000
0.000 3.611 0.000
0.000 0.000 6.195
Ta Cd Sb
1 2 1
Cartesian
0.000 0.000 0.000 Ta
0.000 0.000 3.107 Cd
1.806 1.806 1.695 Cd
1.806 1.806 4.930 Sb
```


A plane-wave DFT calculation with SCAN was carried out for a PBEsol-optimized structure of NdBPt4.

## Properties
- density of states at the Fermi level (states/eV/cell) = 3.8
- formation energy (eV/atom) = -0.913

```
NdBPt4
1.0
5.415 0.000 0.000
-2.708 4.690 0.000
0.000 0.000 7.630
Nd B Pt
2 2 8
Cartesian
0.000 0.000 0.000 Nd
0.000 0.000 3.815 Nd
0.000 3.127 0.000 B
2.708 1.563 0.000 B
-1.354 2.345 1.536 Pt
-1.354 2.345 6.095 Pt
0.000 3.127 3.815 Pt
2.708 0.000 1.536 Pt
2.708 0.000 6.095 Pt
1.354 2.345 1.536 Pt
1.354 2.345 6.095 Pt
2.708 1.563 3.815 Pt
```


A plane-wave DFT calculation with SCAN was carried out for a PBEsol-optimized structure of KTaSi4.

## Properties
- formation energy without anion corrections (eV per atom) = 0.71
- density of states at the Fermi level (states/eV/cell) = 4.1

```
KTaSi4
1.0
0.000 3.633 3.633
3.633 0.000 3.633
3.633 3.633 0.000
K Ta Si
1 1 4
Cartesian
0.000 0.000 0.000 K
1.816 1.816 1.816 Ta
4.521 2.744 2.744 Si
2.744 4.521 2.744 Si
2.744 2.744 4.521 Si
4.521 4.521 4.521 Si
```


A plane-wave DFT calculation with SCAN was carried out for a PBEsol-optimized structure of BeMoOs2.

## Properties
- density of states at the Fermi level (states/eV/cell) = 3.6
- formation energy (eV/atom) = 0.215

```
BeMoOs2
1.0
0.000 2.991 2.991
2.991 0.000 2.991
2.991 2.991 0.000
Be Mo Os
1 1 2
Cartesian
0.000 0.000 0.000 Be
1.495 1.495 1.495 Mo
2.991 2.991 2.991 Os
4.486 4.486 4.486 Os
```


A plane-wave DFT calculation with SCAN was carried out for a PBEsol-optimized structure of FeHgSb2.

## Properties
- formation energy without anion corrections (eV per atom) = 0.59
- density of states at the Fermi level (states/eV/cell) = 2.6

```
FeHgSb2
1.0
0.000 3.523 3.523
3.523 0.000 3.523
3.523 3.523 0.000
Fe Hg Sb
1 1 2
Cartesian
0.000 0.000 0.000 Fe
5.285 5.285 5.285 Hg
1.762 1.762 1.762 Sb
3.523 3.523 3.523 Sb
```


A plane-wave DFT calculation with SCAN was carried out for a PBEsol-optimized structure of TlCd5.

## Properties
- energy above the lowest structure with this stoichiometry (meV per atom) = 23.9
- density of states at the Fermi level (states/eV/cell) = 1.5
- formation energy (eV/atom) = 0.064

```
TlCd5
1.0
5.602 0.000 0.000
-2.801 4.852 0.000
0.000 0.000 4.947
Tl Cd
1 5
Cartesian
0.000 0.000 0.000 Tl
-1.009 1.748 2.473 Cd
0.000 3.234 0.000 Cd
2.018 0.000 2.473 Cd
1.792 3.104 2.473 Cd
2.801 1.617 0.000 Cd
```


A plane-wave DFT calculation with SCAN was carried out for a PBEsol-optimized structure of ZnSb2TeAs.

## Properties
- formation energy without anion corrections (eV per atom) = 0.78
- density of states at the Fermi level (states/eV/cell) = 4.1

```
ZnSb2TeAs
1.0
5.361 0.000 0.000
0.000 5.361 0.000
0.000 0.000 5.277
Zn Sb Te As
1 2 1 1
Cartesian
0.000 0.000 0.000 Zn
0.000 2.681 2.639 Sb
2.681 0.000 2.639 Sb
2.681 2.681 0.000 Te
2.681 2.681 2.639 As
```


A plane-wave DFT calculation with SCAN was carried out for a PBEsol-optimized structure of Ru2PbW.

## Properties
- density of states at the Fermi level (states/eV/cell) = 3.6
- formation energy (eV/atom) = 0.599

```
Ru2PbW
1.0
2.922 0.000 0.000
0.000 4.060 0.000
-0.032 0.000 5.524
Ru Pb W
2 1 1
Cartesian
0.000 0.000 0.000 Ru
1.352 2.030 4.040 Ru
2.798 0.000 2.746 Pb
1.295 2.030 0.972 W
```


A plane-wave DFT calculation with SCAN was carried out for a PBEsol-optimized structure of LaSc3Pd.

## Properties
- energy above the lowest structure with this stoichiometry (meV per atom) = 1290.1
- density of states at the Fermi level (states/eV/cell) = 3.4
- formation energy (eV/atom) = 1.006

```
LaSc3Pd
1.0
4.998 0.000 0.000
0.000 4.998 0.000
0.000 0.000 4.998
La Sc Pd
1 3 1
Cartesian
0.000 0.000 0.000 La
0.000 0.000 2.499 Sc
0.000 2.499 0.000 Sc
2.499 0.000 0.000 Sc
2.499 2.499 2.499 Pd
```


A plane-wave DFT calculation with SCAN was carried out for a PBEsol-optimized structure of TiInCu.

## Properties
- density of states at the Fermi level (states/eV/cell) = 3.2
- formation energy (eV/atom) = -0.196

```
TiInCu
1.0
2.093 -5.455 0.000
2.093 5.455 0.000
0.000 0.000 4.188
Ti In Cu
2 2 2
Cartesian
2.093 4.395 3.141 Ti
2.093 -4.395 1.047 Ti
2.093 1.073 3.141 In
2.093 -1.073 1.047 In
2.093 2.748 1.047 Cu
2.093 -2.748 3.141 Cu
```


A plane-wave DFT calculation with SCAN was carried out for a PBEsol-optimized structure of Hf2ScAs.

## Properties
- density of states at the Fermi level (states/eV/cell) = 5.5
- formation energy (eV/atom) = -0.179

```
Hf2ScAs
1.0
-3.952 3.952 2.750
3.952 -3.952 2.750
3.952 3.952 -2.750
Hf Sc As
4 2 2
Cartesian
5.928 1.577 -0.688 Hf
1.577 1.976 0.688 Hf
-1.976 2.375 2.063 Hf
2.375 1.976 3.438 Hf
3.952 0.000 1.375 Sc
0.000 0.000 2.750 Sc
0.000 0.000 0.000 As
0.000 3.952 1.375 As
```


A plane-wave DFT calculation with SCAN was carried out for a PBEsol-optimized structure of TlSbPb2.

## Properties
- formation energy without anion corrections (eV per atom) = 0.05
- energy above the lowest structure with this stoichiometry (meV per atom) = 36.8
- density of states at the Fermi level (states/eV/cell) = 2.0

```
TlSbPb2
1.0
4.069 0.000 0.000
0.000 4.069 0.000
0.000 0.000 6.983
Tl Sb Pb
1 1 2
Cartesian
0.000 0.000 0.000 Tl
2.035 2.035 5.166 Sb
0.000 0.000 3.659 Pb
2.035 2.035 1.777 Pb
```


A plane-wave DFT calculation with SCAN was carried out for a PBEsol-optimized structure of Ti3ReI.

## Properties
- formation energy without anion corrections (eV per atom) = 1.63
- density of states at the Fermi level (states/eV/cell) = 4.3

```
Ti3ReI
1.0
4.755 0.000 0.000
0.000 4.755 0.000
0.000 0.000 4.755
Ti Re I
3 1 1
Cartesian
0.000 0.000 2.377 Ti
0.000 2.377 0.000 Ti
2.377 0.000 0.000 Ti
2.377 2.377 2.377 Re
0.000 0.000 0.000 I
```


A plane-wave DFT calculation with SCAN was carried out for a PBEsol-optimized structure of Cu2As2O7.

## Properties
- formation energy without anion corrections (eV per atom) = -1.11
- energy above the lowest structure with this stoichiometry (meV per atom) = 10.7

```
Cu2As2O7
1.0
3.601 -4.119 0.000
3.601 4.119 0.000
-1.790 0.000 4.579
Cu As O
2 2 7
Cartesian
3.601 2.588 0.000 Cu
3.601 -2.588 0.000 Cu
1.030 0.000 2.733 As
4.382 0.000 1.846 As
0.200 0.000 1.216 O
0.681 1.408 3.604 O
0.681 -1.408 3.604 O
2.706 0.000 2.290 O
4.731 1.408 0.975 O
4.731 -1.408 0.975 O
5.211 0.000 3.363 O
```


Number 1: spin magnetization 0.000 μB/f.u.. Number 2: spin magnetization 4.467 μB/f.u.. Number 3: spin magnetization 0.000 μB/f.u.. Number 4: spin magnetization 0.952 μB/f.u.. Number 5: spin magnetization 0.000 μB/f.u.. Number 6: spin magnetization 0.581 μB/f.u.. Number 7: spin magnetization 0.001 μB/f.u.. Number 8: spin magnetization 0.000 μB/f.u.. Number 9: spin magnetization 0.000 μB/f.u.. Number 10: spin magnetization 0.000 μB/f.u.. Number 11: spin magnetization 0.000 μB/f.u.. Number 12: spin magnetization 0.000 μB/f.u.. Number 13: spin magnetization 0.000 μB/f.u.. Number 14: spin magnetization 3.178 μB/f.u.. Number 15: spin magnetization 0.000 μB/f.u.. Number 16: spin magnetization 0.000 μB/f.u.. Number 17: spin magnetization 0.000 μB/f.u.. Number 18: spin magnetization 0.000 μB/f.u.. Number 19: spin magnetization 3.185 μB/f.u.. Number 20: spin magnetization 0.000 μB/f.u.. Number 21: spin magnetization 0.000 μB/f.u.. Number 22: spin magnetization 0.000 μB/f.u.. Number 23: spin magnetization 0.000 μB/f.u.. Number 24: spin magnetization 0.000 μB/f.u.. Number 25: spin magnetization 0.000 μB/f.u.. Number 26: spin magnetization 0.000 μB/f.u.. Number 27: spin magnetization 0.509 μB/f.u.. Number 28: spin magnetization 1.978 μB/f.u..